Model 1:
# Ca2CrSi

Ca2CrSi after structural relaxation (GGA-PBE, Alexandria).

Density = 3105 kg/m³
D(E_F) = 2.02 states/eV/f.u.
Total magnetic moment = 3.997 μB/f.u.

Cell lengths 4.951, 4.951, 4.951 Å; angles 120.10, 120.10, 89.82 degrees
Site moments in Bohr magnetons follow the coordinates.
Positions (direct):
Ca (0.000, 0.000, 0.000)  -0.04
Ca (0.250, 0.750, 0.500)  0.06
Cr (0.500, 0.500, 0.000)  3.56
Si (0.750, 0.250, 0.500)  -0.06

Model 2:
# Ca2CrSi

Ca2CrSi after structural relaxation (GGA-PBE, Alexandria).

Density = 2854 kg/m³
D(E_F) = 1.13 states/eV/f.u.
Total magnetic moment = 4.008 μB/f.u.

Cell lengths 4.661, 4.661, 4.292 Å; angles 90.00, 90.00, 90.00 degrees
Site moments in Bohr magnetons follow the coordinates.
Positions (direct):
Ca (0.000, 0.000, 0.000)  0.00
Ca (0.500, 0.500, 0.000)  0.00
Cr (0.500, 0.000, 0.500)  3.77
Si (0.000, 0.500, 0.500)  -0.10

Winner for stability: model 2

Model 1:
# CaCr2Si

CaCr2Si after structural relaxation (GGA-PBE, Alexandria).

Density = 4266 kg/m³
D(E_F) = 2.86 states/eV/f.u.
Total magnetic moment = 1.461 μB/f.u.

Cell lengths 3.053, 3.053, 7.810 Å; angles 67.01, 90.00, 90.00 degrees
Site moments in Bohr magnetons follow the coordinates.
Positions (direct):
Ca (0.500, 0.765, 0.736)  0.06
Cr (0.000, 0.919, 0.081)  2.33
Cr (0.500, 0.255, 0.244)  -1.35
Si (0.000, 0.561, 0.439)  0.05

Model 2:
# CaCr2Si

CaCr2Si after structural relaxation (GGA-PBE, Alexandria).

Density = 4066 kg/m³
D(E_F) = 2.16 states/eV/f.u.
Total magnetic moment = 5.147 μB/f.u.

Cell lengths 4.050, 2.966, 6.030 Å; angles 76.06, 90.00, 90.00 degrees
Site moments in Bohr magnetons follow the coordinates.
Positions (direct):
Ca (0.500, 0.750, 0.750)  0.06
Cr (0.000, 0.065, 0.065)  2.35
Cr (0.000, 0.435, 0.435)  2.35
Si (0.500, 0.250, 0.250)  -0.10

Model 3:
# CaCr2Si

CaCr2Si after structural relaxation (GGA-PBE, Alexandria).

Density = 4275 kg/m³
D(E_F) = 3.97 states/eV/f.u.
Total magnetic moment = 0.251 μB/f.u.

Cell lengths 3.246, 3.247, 6.343 Å; angles 90.00, 90.00, 90.00 degrees
Site moments in Bohr magnetons follow the coordinates.
Positions (direct):
Ca (0.500, 0.500, 0.750)  0.00
Cr (0.000, 0.000, 0.092)  0.12
Cr (0.000, 0.000, 0.408)  0.12
Si (0.500, 0.500, 0.250)  -0.01

Model 4:
# CaCr2Si

CaCr2Si after structural relaxation (GGA-PBE, Alexandria).

Density = 4247 kg/m³
D(E_F) = 3.88 states/eV/f.u.
Total magnetic moment = 5.302 μB/f.u.

Cell lengths 5.372, 5.372, 2.884 Å; angles 75.58, 75.58, 114.39 degrees
Site moments in Bohr magnetons follow the coordinates.
Positions (direct):
Ca (0.000, 0.500, 0.500)  0.03
Cr (0.000, 0.000, 0.000)  2.53
Cr (0.500, 0.500, 0.000)  2.53
Si (0.500, 0.000, 0.500)  -0.10

Winner for stability: model 1

Model 1:
# CaCr2Si

CaCr2Si after structural relaxation (GGA-PBE, Alexandria).

Density = 4755 kg/m³
D(E_F) = 3.84 states/eV/f.u.
Total magnetic moment = 0.000 μB/f.u.

Cell lengths 2.636, 2.636, 8.654 Å; angles 90.00, 90.00, 90.00 degrees
Positions (direct):
Ca (0.500, 0.500, 0.750)
Cr (0.000, 0.000, 0.050)
Cr (0.000, 0.000, 0.450)
Si (0.500, 0.500, 0.250)

Model 2:
# CaCr2Si

CaCr2Si after structural relaxation (GGA-PBE, Alexandria).

Density = 4508 kg/m³
D(E_F) = 4.08 states/eV/f.u.
Total magnetic moment = 0.000 μB/f.u.

Cell lengths 5.729, 5.729, 5.729 Å; angles 154.21, 128.76, 58.24 degrees
Positions (direct):
Ca (0.250, 0.750, 0.500)
Cr (0.956, 0.956, 0.000)
Cr (0.544, 0.544, 0.000)
Si (0.750, 0.250, 0.500)

Winner for stability: model 2

Model 1:
# CaCr2Si

CaCr2Si after structural relaxation (GGA-PBE, Alexandria).

Density = 4686 kg/m³
D(E_F) = 5.29 states/eV/f.u.
Total magnetic moment = 0.007 μB/f.u.

Cell lengths 2.709, 2.709, 8.471 Å; angles 90.00, 90.00, 101.14 degrees
Positions (direct):
Ca (0.500, 0.500, 0.750)
Cr (0.000, 0.000, 0.052)
Cr (0.000, 0.000, 0.448)
Si (0.500, 0.500, 0.250)

Model 2:
# CaCr2Si

CaCr2Si after structural relaxation (GGA-PBE, Alexandria).

Density = 3528 kg/m³
D(E_F) = 4.05 states/eV/f.u.
Total magnetic moment = 1.953 μB/f.u.

Cell lengths 4.307, 4.307, 9.250 Å; angles 76.54, 76.54, 90.00 degrees
Site moments in Bohr magnetons follow the coordinates.
Positions (direct):
Cr (0.375, 0.125, 0.250)  0.92
Cr (0.375, 0.625, 0.250)  0.87
Cr (0.375, 0.625, 0.750)  1.04
Cr (0.875, 0.625, 0.750)  0.99
Ca (0.000, 0.000, 0.000)  -0.01
Ca (0.750, 0.250, 0.500)  -0.01
Si (0.500, 0.500, 0.000)  -0.07
Si (0.250, 0.750, 0.500)  -0.07

Model 3:
# CaCr2Si

CaCr2Si after structural relaxation (GGA-PBE, Alexandria).

Density = 4060 kg/m³
D(E_F) = 3.63 states/eV/f.u.
Total magnetic moment = 0.000 μB/f.u.

Cell lengths 4.636, 4.636, 5.356 Å; angles 80.97, 80.97, 38.33 degrees
Positions (direct):
Ca (0.250, 0.250, 0.250)
Cr (0.020, 0.020, 0.883)
Cr (0.480, 0.480, 0.617)
Si (0.750, 0.750, 0.750)

Model 4:
# CaCr2Si

CaCr2Si after structural relaxation (GGA-PBE, Alexandria).

Density = 4147 kg/m³
D(E_F) = 1.61 states/eV/f.u.
Total magnetic moment = 0.111 μB/f.u.

Cell lengths 4.602, 4.602, 4.602 Å; angles 60.00, 60.00, 60.00 degrees
Site moments in Bohr magnetons follow the coordinates.
Positions (direct):
Ca (0.500, 0.500, 0.500)  -0.06
Cr (0.000, 0.000, 0.000)  3.22
Cr (0.250, 0.250, 0.250)  -3.27
Si (0.750, 0.750, 0.750)  -0.02

Winner for stability: model 4

Model 1:
# CaCr2Si

CaCr2Si after structural relaxation (GGA-PBE, Alexandria).

Density = 4432 kg/m³
D(E_F) = 3.43 states/eV/f.u.
Total magnetic moment = 5.934 μB/f.u.

Cell lengths 4.501, 4.501, 4.501 Å; angles 60.00, 60.00, 60.00 degrees
Site moments in Bohr magnetons follow the coordinates.
Positions (direct):
Cr (0.250, 0.250, 0.250)  2.66
Cr (0.750, 0.750, 0.750)  2.66
Ca (0.500, 0.500, 0.500)  0.16
Si (0.000, 0.000, 0.000)  -0.12

Model 2:
# CaCr2Si

CaCr2Si after structural relaxation (GGA-PBE, Alexandria).

Density = 3906 kg/m³
D(E_F) = 1.69 states/eV/f.u.
Total magnetic moment = 7.466 μB/f.u.

Cell lengths 4.254, 4.255, 4.044 Å; angles 90.00, 90.00, 90.00 degrees
Site moments in Bohr magnetons follow the coordinates.
Positions (direct):
Ca (0.000, 0.500, 0.500)  0.05
Cr (0.000, 0.000, 0.000)  3.43
Cr (0.500, 0.500, 0.000)  3.43
Si (0.500, 0.000, 0.500)  -0.15

Winner for stability: model 1

Model 1:
# CaCr2Si

CaCr2Si after structural relaxation (GGA-PBE, Alexandria).

Density = 3540 kg/m³
D(E_F) = 1.33 states/eV/f.u.
Total magnetic moment = 0.025 μB/f.u.

Cell lengths 4.221, 4.221, 5.774 Å; angles 68.52, 68.52, 60.02 degrees
Site moments in Bohr magnetons follow the coordinates.
Positions (direct):
Ca (0.251, 0.251, 0.248)  -0.02
Cr (0.063, 0.063, 0.811)  -2.28
Cr (0.751, 0.751, 0.747)  2.28
Si (0.436, 0.436, 0.694)  0.00

Model 2:
# CaCr2Si

CaCr2Si after structural relaxation (GGA-PBE, Alexandria).

Density = 3397 kg/m³
D(E_F) = 4.27 states/eV/f.u.
Total magnetic moment = 7.170 μB/f.u.

Cell lengths 5.933, 5.933, 5.933 Å; angles 41.87, 41.87, 41.87 degrees
Site moments in Bohr magnetons follow the coordinates.
Positions (direct):
Ca (0.250, 0.250, 0.250)  0.07
Cr (0.047, 0.047, 0.047)  3.14
Cr (0.453, 0.453, 0.453)  3.14
Si (0.750, 0.750, 0.750)  -0.10

Winner for stability: model 1